Ca2BeSb | GGA-PBE | relaxed

## Properties
Excess energy over the best structure of this formula in the dataset: 469 meV/atom
Total magnetic moment: 0.22 μB/atom
D(E_F): 11.49 states/eV/cell
Uncorrected energy: -34.91 eV for the cell shown
ΔE_f (raw): 0.0534 eV/atom
Theoretical density: 3.15 g/cm³

Cell lengths 3.7972, 3.7972, 26.7354 Å; angles 90.00, 90.00, 120.00 degrees
Space group R-3m (No. 166, hexagonal axes)
One atom of each set of equivalent atoms:
Ca: 0.0000 0.0000 0.2419 (multiplicity 6)
Be: 0.0000 0.0000 0.5000 (multiplicity 3)
Sb: 0.0000 0.0000 0.0000 (multiplicity 3)